1.
ZrTaAl4 (PBE, relaxed); space group = F-43m, No. 216; crystal system = cubic; final energy = -37.44 eV/cell
1.0
0.000 3.687 3.687
3.687 0.000 3.687
3.687 3.687 0.000
Zr Ta Al
1 1 4
direct
0.000 0.000 0.000
0.750 0.750 0.750
0.375 0.375 0.375
0.375 0.375 0.875
0.375 0.875 0.375
0.875 0.375 0.375

=====

2.
ZrTaAl3 (PBE, relaxed); space group = Pm-3m, No. 221; crystal system = cubic; E above lowest polymorph = 0.0000 eV per atom
1.0
4.850 0.000 0.000
0.000 4.850 0.000
0.000 0.000 4.850
Zr Ta Al
1 1 3
direct
0.000 0.000 0.000
0.500 0.500 0.500
0.000 0.500 0.500
0.500 0.000 0.500
0.500 0.500 0.000